Record 1
VASP calculation (GGA-PBE) on an optimized crystal structure of Rb2MnPt.

The structure in POSCAR format:
```
Rb2MnPt
1.0
0.000 4.075 4.075
4.075 0.000 4.075
4.075 4.075 0.000
Rb Mn Pt
2 1 1
Direct
0.250 0.250 0.250 Rb
0.750 0.750 0.750 Rb
0.000 0.000 0.000 Mn
0.500 0.500 0.500 Pt
```

Calculated values
As for the uncorrected energy: -3.480 eV per atom. The energy above the most stable polymorph in this dataset is 305 meV per atom. For the formation energy, the calculation gives 0.81 eV/atom.


Record 2
VASP calculation (GGA-PBE) on an optimized crystal structure of RbMnPt3.

The structure in POSCAR format:
```
RbMnPt3
1.0
4.997 0.000 0.000
0.000 4.997 0.000
0.000 0.000 4.997
Rb Mn Pt
1 1 3
Direct
0.000 0.000 0.000 Rb
0.500 0.500 0.500 Mn
0.000 0.000 0.500 Pt
0.000 0.500 0.000 Pt
0.500 0.000 0.000 Pt
```

Calculated values
As for the uncorrected energy: -2.846 eV per atom. The energy above the most stable polymorph in this dataset is 2131 meV per atom. For the formation energy, the calculation gives 2.81 eV/atom.


Record 3
VASP calculation (GGA-PBE) on an optimized crystal structure of RbMnPt3.

The structure in POSCAR format:
```
RbMnPt3
1.0
4.743 0.000 0.000
0.000 4.743 0.000
0.000 0.000 4.743
Rb Mn Pt
1 1 3
Direct
0.000 0.000 0.000 Rb
0.500 0.500 0.500 Mn
0.000 0.500 0.500 Pt
0.500 0.000 0.500 Pt
0.500 0.500 0.000 Pt
```

Calculated values
As for the uncorrected energy: -4.977 eV per atom. The energy above the most stable polymorph in this dataset is 0 meV per atom. For the formation energy, the calculation gives 0.67 eV/atom.


Record 4
VASP calculation (GGA-PBE) on an optimized crystal structure of RbMn3Pt.

The structure in POSCAR format:
```
RbMn3Pt
1.0
4.700 0.000 0.000
0.000 4.700 0.000
0.000 0.000 4.700
Rb Mn Pt
1 3 1
Direct
0.000 0.000 0.000 Rb
0.000 0.000 0.500 Mn
0.000 0.500 0.000 Mn
0.500 0.000 0.000 Mn
0.500 0.500 0.500 Pt
```

Calculated values
As for the uncorrected energy: -4.574 eV per atom. The energy above the most stable polymorph in this dataset is 1727 meV per atom. For the formation energy, the calculation gives 2.33 eV/atom.


Record 5
VASP calculation (GGA-PBE) on an optimized crystal structure of RbMnPt2.

The structure in POSCAR format:
```
RbMnPt2
1.0
-3.879 3.879 2.980
3.879 -3.879 2.980
3.879 3.879 -2.980
Rb Mn Pt
2 2 4
Direct
0.000 0.000 0.000 Rb
0.750 0.250 0.500 Rb
0.250 0.750 0.500 Mn
0.500 0.500 0.000 Mn
0.188 0.625 0.063 Pt
0.375 0.438 0.563 Pt
0.562 0.125 0.937 Pt
0.875 0.812 0.437 Pt
```

Calculated values
As for the uncorrected energy: -5.125 eV per atom. The energy above the most stable polymorph in this dataset is 0 meV per atom. For the formation energy, the calculation gives 0.43 eV/atom.


Record 6
VASP calculation (GGA-PBE) on an optimized crystal structure of RbMnPt2.

The structure in POSCAR format:
```
RbMnPt2
1.0
0.000 3.428 3.428
3.428 0.000 3.428
3.428 3.428 0.000
Rb Mn Pt
1 1 2
Direct
0.000 0.000 0.000 Rb
0.500 0.500 0.500 Mn
0.250 0.250 0.250 Pt
0.750 0.750 0.750 Pt
```

Calculated values
As for the uncorrected energy: -4.925 eV per atom. The energy above the most stable polymorph in this dataset is 200 meV per atom. For the formation energy, the calculation gives 0.63 eV/atom.


Record 7
VASP calculation (GGA-PBE) on an optimized crystal structure of Rb3MnPt.

The structure in POSCAR format:
```
Rb3MnPt
1.0
6.462 0.000 0.000
0.000 6.462 0.000
0.000 0.000 6.462
Rb Mn Pt
3 1 1
Direct
0.000 0.000 0.500 Rb
0.000 0.500 0.000 Rb
0.500 0.000 0.000 Rb
0.500 0.500 0.500 Mn
0.000 0.000 0.000 Pt
```

Calculated values
As for the uncorrected energy: -2.976 eV per atom. The energy above the most stable polymorph in this dataset is 0 meV per atom. For the formation energy, the calculation gives 0.65 eV/atom.


Record 8
VASP calculation (GGA-PBE) on an optimized crystal structure of Rb2MnPt.

The structure in POSCAR format:
```
Rb2MnPt
1.0
-6.507 6.507 2.372
6.507 -6.507 2.372
6.507 6.507 -2.372
Rb Mn Pt
4 2 2
Direct
0.375 0.190 0.315 Rb
0.810 0.125 0.185 Rb
0.875 0.060 0.685 Rb
0.940 0.625 0.815 Rb
0.000 0.000 0.000 Mn
0.750 0.250 0.500 Mn
0.250 0.750 0.500 Pt
0.500 0.500 0.000 Pt
```

Calculated values
As for the uncorrected energy: -3.785 eV per atom. The energy above the most stable polymorph in this dataset is 0 meV per atom. For the formation energy, the calculation gives 0.50 eV/atom.


Record 9
VASP calculation (GGA-PBE) on an optimized crystal structure of RbSrMnPt2.

The structure in POSCAR format:
```
RbSrMnPt2
1.0
5.517 0.000 0.000
0.000 5.517 0.000
0.000 0.000 4.993
Rb Sr Mn Pt
1 1 1 2
Direct
0.000 0.000 0.000 Rb
0.500 0.500 0.500 Sr
0.000 0.000 0.500 Mn
0.000 0.500 0.000 Pt
0.500 0.000 0.000 Pt
```

Calculated values
As for the uncorrected energy: -3.459 eV per atom. For the formation energy, the calculation gives 1.32 eV/atom.


Record 10
VASP calculation (GGA-PBE) on an optimized crystal structure of RbTaMn2Pt.

The structure in POSCAR format:
```
RbTaMn2Pt
1.0
4.341 0.000 0.000
0.000 4.341 0.000
0.000 0.000 5.039
Rb Ta Mn Pt
1 1 2 1
Direct
0.000 0.000 0.000 Rb
0.500 0.500 0.500 Ta
0.000 0.500 0.000 Mn
0.500 0.000 0.000 Mn
0.000 0.000 0.500 Pt
```

Calculated values
As for the uncorrected energy: -4.548 eV per atom. For the formation energy, the calculation gives 2.89 eV/atom.


Record 11
VASP calculation (GGA-PBE) on an optimized crystal structure of RbMnTc2Pt.

The structure in POSCAR format:
```
RbMnTc2Pt
1.0
4.562 0.000 0.000
0.000 4.562 0.000
0.000 0.000 4.977
Rb Mn Tc Pt
1 1 2 1
Direct
0.000 0.000 0.000 Rb
0.500 0.500 0.500 Mn
0.000 0.500 0.500 Tc
0.500 0.000 0.500 Tc
0.500 0.500 0.000 Pt
```

Calculated values
As for the uncorrected energy: -6.161 eV per atom. For the formation energy, the calculation gives 1.22 eV/atom.


Record 12
VASP calculation (GGA-PBE) on an optimized crystal structure of RbMnTePt2.

The structure in POSCAR format:
```
RbMnTePt2
1.0
5.076 0.000 0.000
0.000 5.076 0.000
0.000 0.000 6.365
Rb Mn Te Pt
1 1 1 2
Direct
0.000 0.000 0.000 Rb
0.500 0.500 0.000 Mn
0.000 0.000 0.500 Te
0.000 0.500 0.500 Pt
0.500 0.000 0.500 Pt
```

Calculated values
As for the uncorrected energy: -4.221 eV per atom. The raw formation energy comes out at 0.851 eV/atom.


Record 13
VASP calculation (GGA-PBE) on an optimized crystal structure of MnRe2Pt.

The structure in POSCAR format:
```
MnRe2Pt
1.0
1.365 0.788 8.813
-1.365 0.788 8.813
0.000 -1.576 8.813
Mn Re Pt
1 2 1
Direct
0.000 0.000 0.000 Mn
0.255 0.255 0.255 Re
0.745 0.745 0.745 Re
0.500 0.500 0.500 Pt
```

Calculated values
As for the uncorrected energy: -9.980 eV per atom. The energy above the most stable polymorph in this dataset is 100 meV per atom. For the formation energy, the calculation gives 0.05 eV/atom.


Record 14
VASP calculation (GGA-PBE) on an optimized crystal structure of MnRe2Pt.

The structure in POSCAR format:
```
MnRe2Pt
1.0
-1.949 1.949 3.774
1.949 -1.949 3.774
1.949 1.949 -3.774
Mn Re Pt
1 2 1
Direct
0.000 0.000 0.000 Mn
0.250 0.750 0.500 Re
0.500 0.500 0.000 Re
0.750 0.250 0.500 Pt
```

Calculated values
As for the uncorrected energy: -10.081 eV per atom. The energy above the most stable polymorph in this dataset is 0 meV per atom. For the formation energy, the calculation gives -0.05 eV/atom.